Entry w
## Zn3MoS (PBE)

Data for a relaxed Zn3MoS crystal.

Lattice parameters (Å, degrees): 4.6058 4.6058 4.6058 90.00 90.00 90.00
Space group Pm-3m (No. 221)
Inequivalent atoms, fractional coordinates:
Zn 0.0000 0.0000 0.5000 (multiplicity 3)
Mo 0.5000 0.5000 0.5000 (multiplicity 1)
S 0.0000 0.0000 0.0000 (multiplicity 1)

---

Entry x
## Zn3MoS (PBE)

Data for a relaxed Zn3MoS crystal.

Lattice parameters (Å, degrees): 5.0122 5.0122 5.0122 90.00 90.00 90.00
Space group Pm-3m (No. 221)
Inequivalent atoms, fractional coordinates:
Zn 0.0000 0.0000 0.5000 (multiplicity 3)
Mo 0.0000 0.0000 0.0000 (multiplicity 1)
S 0.5000 0.5000 0.5000 (multiplicity 1)

---

Question: of the structures shown, which is the most stable? Reply: entry w.